A relaxed AcCrCu4 crystal. Source: Alexandria, functional PBE.

Cell: 5.256 5.256 5.256 Å, 60.00 60.00 60.00°
Each line ends with the local moment (μB).
Fractional coordinates of all 6 atoms:
Cr (0.000, 0.000, 0.000)  3.78
Ac (0.250, 0.250, 0.250)  0.09
Cu (0.628, 0.628, 0.116)  0.03
Cu (0.628, 0.116, 0.628)  0.03
Cu (0.628, 0.628, 0.628)  0.03
Cu (0.116, 0.628, 0.628)  0.03

## Properties
- total magnetization (μB per cell) = 4.470
- symmetry = F-43m (216)
- Fermi-level density of states (states/eV per atom) = 0.81
- formation energy (meV/atom) = 131
- final energy (eV/atom) = -4.8880